(1)
# GGA-PBE LaNbP2Pd, optimized geometry
data_LaNbP2Pd
_chemical_formula_sum 'La1 Nb1 P2 Pd1'
_cell_length_a 4.7256
_cell_length_b 4.7256
_cell_length_c 5.1255
_cell_angle_alpha 90.00
_cell_angle_beta 90.00
_cell_angle_gamma 90.00
_space_group_name_H-M_alt 'P 1'
_space_group_IT_number 1
loop_
_space_group_symop_operation_xyz
'x,y,z'
loop_
_atom_site_label
_atom_site_type_symbol
_atom_site_fract_x
_atom_site_fract_y
_atom_site_fract_z
La1 La 0.0000 0.0000 0.0000
Nb1 Nb 0.5000 0.5000 0.0000
P1 P 0.0000 0.5000 0.5000
P2 P 0.5000 0.0000 0.5000
Pd1 Pd 0.0000 0.0000 0.5000
# **Formation enthalpy at 0 K**: 2.9 eV per formula unit
# **E_tot**: -5.6133 eV/atom
# **Magnetic moment**: 0.0001 μB per atom

(2)
# GGA-PBE LaNbRe2P, optimized geometry
data_LaNbRe2P
_chemical_formula_sum 'La1 Nb1 Re2 P1'
_cell_length_a 4.8993
_cell_length_b 4.8993
_cell_length_c 4.7833
_cell_angle_alpha 90.00
_cell_angle_beta 90.00
_cell_angle_gamma 90.00
_space_group_name_H-M_alt 'P 1'
_space_group_IT_number 1
loop_
_space_group_symop_operation_xyz
'x,y,z'
loop_
_atom_site_label
_atom_site_type_symbol
_atom_site_fract_x
_atom_site_fract_y
_atom_site_fract_z
La1 La 0.0000 0.0000 0.0000
Nb1 Nb 0.5000 0.5000 0.5000
Re1 Re 0.0000 0.5000 0.5000
Re2 Re 0.5000 0.0000 0.5000
P1 P 0.5000 0.5000 0.0000
# **Formation enthalpy at 0 K**: 4.9 eV per formula unit
# **E_tot**: -8.0879 eV/atom
# **Magnetic moment**: 0.2748 μB per atom

(3)
# GGA-PBE La2NbP3Rh12, optimized geometry
data_La2NbP3Rh12
_chemical_formula_sum 'La2 Nb1 P3 Rh12'
_cell_length_a 6.8523
_cell_length_b 6.8523
_cell_length_c 6.8523
_cell_angle_alpha 78.79
_cell_angle_beta 78.79
_cell_angle_gamma 78.79
_space_group_name_H-M_alt 'P 1'
_space_group_IT_number 1
loop_
_space_group_symop_operation_xyz
'x,y,z'
loop_
_atom_site_label
_atom_site_type_symbol
_atom_site_fract_x
_atom_site_fract_y
_atom_site_fract_z
La1 La 0.1122 0.1122 0.1122
La2 La 0.8878 0.8878 0.8878
Nb1 Nb 0.5000 0.5000 0.5000
P1 P 0.0000 0.5000 0.5000
P2 P 0.5000 0.0000 0.5000
P3 P 0.5000 0.5000 0.0000
Rh1 Rh 0.1464 0.6673 0.6673
Rh2 Rh 0.1683 0.1683 0.5791
Rh3 Rh 0.1683 0.5791 0.1683
Rh4 Rh 0.3327 0.3327 0.8536
Rh5 Rh 0.3327 0.8536 0.3327
Rh6 Rh 0.4209 0.8317 0.8317
Rh7 Rh 0.5791 0.1683 0.1683
Rh8 Rh 0.6673 0.1464 0.6673
Rh9 Rh 0.6673 0.6673 0.1464
Rh10 Rh 0.8317 0.4209 0.8317
Rh11 Rh 0.8317 0.8317 0.4209
Rh12 Rh 0.8536 0.3327 0.3327
# **Formation enthalpy at 0 K**: -4.9 eV per formula unit
# **E_tot**: -7.1800 eV/atom
# **Magnetic moment**: 0.0000 μB per atom

(4)
# GGA-PBE LaNbP2Ru, optimized geometry
data_LaNbP2Ru
_chemical_formula_sum 'La1 Nb1 P2 Ru1'
_cell_length_a 5.1583
_cell_length_b 5.1583
_cell_length_c 4.6771
_cell_angle_alpha 90.00
_cell_angle_beta 90.00
_cell_angle_gamma 90.00
_space_group_name_H-M_alt 'P 1'
_space_group_IT_number 1
loop_
_space_group_symop_operation_xyz
'x,y,z'
loop_
_atom_site_label
_atom_site_type_symbol
_atom_site_fract_x
_atom_site_fract_y
_atom_site_fract_z
La1 La 0.0000 0.0000 0.0000
Nb1 Nb 0.5000 0.5000 0.5000
P1 P 0.0000 0.5000 0.0000
P2 P 0.5000 0.0000 0.0000
Ru1 Ru 0.0000 0.0000 0.5000
# **E above lowest polymorph**: 2554 meV/atom
# **Formation enthalpy at 0 K**: 8.2 eV per formula unit
# **E_tot**: -5.3686 eV/atom
# **Magnetic moment**: 0.0000 μB per atom

(5)
# GGA-PBE LaNbP2Ru, optimized geometry
data_LaNbP2Ru
_chemical_formula_sum 'La1 Nb1 P2 Ru1'
_cell_length_a 6.5855
_cell_length_b 6.5855
_cell_length_c 6.5855
_cell_angle_alpha 144.58
_cell_angle_beta 144.58
_cell_angle_gamma 50.96
_space_group_name_H-M_alt 'P 1'
_space_group_IT_number 1
loop_
_space_group_symop_operation_xyz
'x,y,z'
loop_
_atom_site_label
_atom_site_type_symbol
_atom_site_fract_x
_atom_site_fract_y
_atom_site_fract_z
La1 La 0.0000 0.0000 0.0000
Nb1 Nb 0.7500 0.2500 0.5000
P1 P 0.3711 0.3711 0.0000
P2 P 0.6289 0.6289 0.0000
Ru1 Ru 0.2500 0.7500 0.5000
# **E above lowest polymorph**: 0 meV/atom
# **Formation enthalpy at 0 K**: -4.5 eV per formula unit
# **E_tot**: -7.9227 eV/atom
# **Magnetic moment**: 0.0000 μB per atom

(6)
# GGA-PBE LaNbP2S, optimized geometry
data_LaNbP2S
_chemical_formula_sum 'La1 Nb1 P2 S1'
_cell_length_a 4.8165
_cell_length_b 4.8165
_cell_length_c 4.8475
_cell_angle_alpha 90.00
_cell_angle_beta 90.00
_cell_angle_gamma 90.00
_space_group_name_H-M_alt 'P 1'
_space_group_IT_number 1
loop_
_space_group_symop_operation_xyz
'x,y,z'
loop_
_atom_site_label
_atom_site_type_symbol
_atom_site_fract_x
_atom_site_fract_y
_atom_site_fract_z
La1 La 0.0000 0.0000 0.0000
Nb1 Nb 0.5000 0.5000 0.5000
P1 P 0.0000 0.5000 0.5000
P2 P 0.5000 0.0000 0.5000
S1 S 0.5000 0.5000 0.0000
# **E above lowest polymorph**: 0 meV/atom
# **E_tot**: -6.8072 eV/atom
# **ΔE_f (raw)**: -818 meV/atom
# **Magnetic moment**: 0.0000 μB per atom

(7)
# GGA-PBE LaNbP2S, optimized geometry
data_LaNbP2S
_chemical_formula_sum 'La1 Nb1 P2 S1'
_cell_length_a 5.3008
_cell_length_b 5.3008
_cell_length_c 5.3236
_cell_angle_alpha 90.00
_cell_angle_beta 90.00
_cell_angle_gamma 90.00
_space_group_name_H-M_alt 'P 1'
_space_group_IT_number 1
loop_
_space_group_symop_operation_xyz
'x,y,z'
loop_
_atom_site_label
_atom_site_type_symbol
_atom_site_fract_x
_atom_site_fract_y
_atom_site_fract_z
La1 La 0.0000 0.0000 0.0000
Nb1 Nb 0.5000 0.5000 0.5000
P1 P 0.0000 0.5000 0.0000
P2 P 0.5000 0.0000 0.0000
S1 S 0.0000 0.0000 0.5000
# **E above lowest polymorph**: 1783 meV/atom
# **E_tot**: -5.0246 eV/atom
# **ΔE_f (raw)**: 964 meV/atom
# **Magnetic moment**: 0.2490 μB per atom

(8)
# GGA-PBE La2NbSbP, optimized geometry
data_La2NbSbP
_chemical_formula_sum 'La2 Nb1 Sb1 P1'
_cell_length_a 6.0222
_cell_length_b 6.0222
_cell_length_c 4.9954
_cell_angle_alpha 90.00
_cell_angle_beta 90.00
_cell_angle_gamma 90.00
_space_group_name_H-M_alt 'P 1'
_space_group_IT_number 1
loop_
_space_group_symop_operation_xyz
'x,y,z'
loop_
_atom_site_label
_atom_site_type_symbol
_atom_site_fract_x
_atom_site_fract_y
_atom_site_fract_z
La1 La 0.0000 0.5000 0.0000
La2 La 0.5000 0.0000 0.0000
Nb1 Nb 0.0000 0.0000 0.5000
Sb1 Sb 0.5000 0.5000 0.0000
P1 P 0.5000 0.5000 0.5000
# **E_tot**: -5.1132 eV/atom
# **ΔE_f (raw)**: 778 meV/atom
# **Magnetic moment**: 0.9434 μB per atom

(9)
# GGA-PBE LaNbSnP2, optimized geometry
data_LaNbSnP2
_chemical_formula_sum 'La1 Nb1 Sn1 P2'
_cell_length_a 4.8720
_cell_length_b 4.8720
_cell_length_c 5.4883
_cell_angle_alpha 90.00
_cell_angle_beta 90.00
_cell_angle_gamma 90.00
_space_group_name_H-M_alt 'P 1'
_space_group_IT_number 1
loop_
_space_group_symop_operation_xyz
'x,y,z'
loop_
_atom_site_label
_atom_site_type_symbol
_atom_site_fract_x
_atom_site_fract_y
_atom_site_fract_z
La1 La 0.0000 0.0000 0.0000
Nb1 Nb 0.0000 0.0000 0.5000
Sn1 Sn 0.5000 0.5000 0.0000
P1 P 0.0000 0.5000 0.5000
P2 P 0.5000 0.0000 0.5000
# **Formation enthalpy at 0 K**: 0.4 eV per formula unit
# **E_tot**: -5.8798 eV/atom
# **Magnetic moment**: 0.0000 μB per atom

(10)
# GGA-PBE LaTiNbP2, optimized geometry
data_LaTiNbP2
_chemical_formula_sum 'La1 Ti1 Nb1 P2'
_cell_length_a 4.8439
_cell_length_b 4.8439
_cell_length_c 5.2921
_cell_angle_alpha 90.00
_cell_angle_beta 90.00
_cell_angle_gamma 90.00
_space_group_name_H-M_alt 'P 1'
_space_group_IT_number 1
loop_
_space_group_symop_operation_xyz
'x,y,z'
loop_
_atom_site_label
_atom_site_type_symbol
_atom_site_fract_x
_atom_site_fract_y
_atom_site_fract_z
La1 La 0.0000 0.0000 0.0000
Ti1 Ti 0.5000 0.5000 0.0000
Nb1 Nb 0.0000 0.0000 0.5000
P1 P 0.0000 0.5000 0.5000
P2 P 0.5000 0.0000 0.5000
# **Formation enthalpy at 0 K**: 2.8 eV per formula unit
# **E_tot**: -6.1817 eV/atom
# **Magnetic moment**: 0.0000 μB per atom

(11)
# GGA-PBE LaNb2TlP, optimized geometry
data_LaNb2TlP
_chemical_formula_sum 'La1 Nb2 Tl1 P1'
_cell_length_a 4.7488
_cell_length_b 4.7488
_cell_length_c 5.5072
_cell_angle_alpha 90.00
_cell_angle_beta 90.00
_cell_angle_gamma 90.00
_space_group_name_H-M_alt 'P 1'
_space_group_IT_number 1
loop_
_space_group_symop_operation_xyz
'x,y,z'
loop_
_atom_site_label
_atom_site_type_symbol
_atom_site_fract_x
_atom_site_fract_y
_atom_site_fract_z
La1 La 0.0000 0.0000 0.0000
Nb1 Nb 0.0000 0.5000 0.5000
Nb2 Nb 0.5000 0.0000 0.5000
Tl1 Tl 0.5000 0.5000 0.0000
P1 P 0.0000 0.0000 0.5000
# **Formation enthalpy at 0 K**: 0.1 eV per formula unit
# **E_tot**: -6.5397 eV/atom
# **Magnetic moment**: 0.0000 μB per atom

(12)
# GGA-PBE La2NbVP, optimized geometry
data_La2NbVP
_chemical_formula_sum 'La2 Nb1 V1 P1'
_cell_length_a 5.5528
_cell_length_b 5.5528
_cell_length_c 4.7575
_cell_angle_alpha 90.00
_cell_angle_beta 90.00
_cell_angle_gamma 90.00
_space_group_name_H-M_alt 'P 1'
_space_group_IT_number 1
loop_
_space_group_symop_operation_xyz
'x,y,z'
loop_
_atom_site_label
_atom_site_type_symbol
_atom_site_fract_x
_atom_site_fract_y
_atom_site_fract_z
La1 La 0.0000 0.5000 0.0000
La2 La 0.5000 0.0000 0.0000
Nb1 Nb 0.0000 0.0000 0.0000
V1 V 0.5000 0.5000 0.5000
P1 P 0.0000 0.0000 0.5000
# **Formation enthalpy at 0 K**: 4.1 eV per formula unit
# **E_tot**: -6.0776 eV/atom
# **Magnetic moment**: 0.0848 μB per atom

(13)
# GGA-PBE La2NbZnP, optimized geometry
data_La2NbZnP
_chemical_formula_sum 'La2 Nb1 Zn1 P1'
_cell_length_a 5.3901
_cell_length_b 5.3901
_cell_length_c 4.8639
_cell_angle_alpha 90.00
_cell_angle_beta 90.00
_cell_angle_gamma 90.00
_space_group_name_H-M_alt 'P 1'
_space_group_IT_number 1
loop_
_space_group_symop_operation_xyz
'x,y,z'
loop_
_atom_site_label
_atom_site_type_symbol
_atom_site_fract_x
_atom_site_fract_y
_atom_site_fract_z
La1 La 0.0000 0.5000 0.0000
La2 La 0.5000 0.0000 0.0000
Nb1 Nb 0.0000 0.0000 0.0000
Zn1 Zn 0.0000 0.0000 0.5000
P1 P 0.5000 0.5000 0.5000
# **Formation enthalpy at 0 K**: 2.1 eV per formula unit
# **E_tot**: -4.8998 eV/atom
# **Magnetic moment**: 0.0000 μB per atom

(14)
# GGA-PBE LaNb2ZnP, optimized geometry
data_LaNb2ZnP
_chemical_formula_sum 'La1 Nb2 Zn1 P1'
_cell_length_a 4.7503
_cell_length_b 4.7503
_cell_length_c 5.5505
_cell_angle_alpha 90.00
_cell_angle_beta 90.00
_cell_angle_gamma 90.00
_space_group_name_H-M_alt 'P 1'
_space_group_IT_number 1
loop_
_space_group_symop_operation_xyz
'x,y,z'
loop_
_atom_site_label
_atom_site_type_symbol
_atom_site_fract_x
_atom_site_fract_y
_atom_site_fract_z
La1 La 0.0000 0.0000 0.0000
Nb1 Nb 0.0000 0.5000 0.5000
Nb2 Nb 0.5000 0.0000 0.5000
Zn1 Zn 0.0000 0.0000 0.5000
P1 P 0.5000 0.5000 0.0000
# **Formation enthalpy at 0 K**: 4.6 eV per formula unit
# **E_tot**: -5.4244 eV/atom
# **Magnetic moment**: 0.3566 μB per atom

(15)
# GGA-PBE LaNb2Pb2, optimized geometry
data_LaNb2Pb2
_chemical_formula_sum 'La1 Nb2 Pb2'
_cell_length_a 7.5695
_cell_length_b 7.5695
_cell_length_c 7.5695
_cell_angle_alpha 147.11
_cell_angle_beta 147.11
_cell_angle_gamma 47.20
_space_group_name_H-M_alt 'P 1'
_space_group_IT_number 1
loop_
_space_group_symop_operation_xyz
'x,y,z'
loop_
_atom_site_label
_atom_site_type_symbol
_atom_site_fract_x
_atom_site_fract_y
_atom_site_fract_z
La1 La 0.0000 0.0000 0.0000
Nb1 Nb 0.2500 0.7500 0.5000
Nb2 Nb 0.7500 0.2500 0.5000
Pb1 Pb 0.3914 0.3914 0.0000
Pb2 Pb 0.6086 0.6086 0.0000
# **Formation enthalpy at 0 K**: -0.1 eV per formula unit
# **E_tot**: -6.5225 eV/atom
# **Magnetic moment**: 0.0000 μB per atom

(16)
# GGA-PBE La2NbPb2, optimized geometry
data_La2NbPb2
_chemical_formula_sum 'La4 Nb2 Pb4'
_cell_length_a 7.9397
_cell_length_b 7.9397
_cell_length_c 4.7755
_cell_angle_alpha 90.00
_cell_angle_beta 90.00
_cell_angle_gamma 90.00
_space_group_name_H-M_alt 'P 1'
_space_group_IT_number 1
loop_
_space_group_symop_operation_xyz
'x,y,z'
loop_
_atom_site_label
_atom_site_type_symbol
_atom_site_fract_x
_atom_site_fract_y
_atom_site_fract_z
La1 La 0.1715 0.3285 0.0000
La2 La 0.3285 0.8285 0.0000
La3 La 0.6715 0.1715 0.0000
La4 La 0.8285 0.6715 0.0000
Nb1 Nb 0.0000 0.0000 0.5000
Nb2 Nb 0.5000 0.5000 0.5000
Pb1 Pb 0.1393 0.6393 0.5000
Pb2 Pb 0.3607 0.1393 0.5000
Pb3 Pb 0.6393 0.8607 0.5000
Pb4 Pb 0.8607 0.3607 0.5000
# **Formation enthalpy at 0 K**: -0.8 eV per formula unit
# **E_tot**: -5.6252 eV/atom
# **Magnetic moment**: 0.3574 μB per atom

(17)
# GGA-PBE LaNbPb2, optimized geometry
data_LaNbPb2
_chemical_formula_sum 'La2 Nb2 Pb4'
_cell_length_a 11.4269
_cell_length_b 11.4269
_cell_length_c 11.4269
_cell_angle_alpha 156.63
_cell_angle_beta 156.63
_cell_angle_gamma 33.29
_space_group_name_H-M_alt 'P 1'
_space_group_IT_number 1
loop_
_space_group_symop_operation_xyz
'x,y,z'
loop_
_atom_site_label
_atom_site_type_symbol
_atom_site_fract_x
_atom_site_fract_y
_atom_site_fract_z
La1 La 0.0000 0.0000 0.0000
La2 La 0.7500 0.2500 0.5000
Nb1 Nb 0.2500 0.7500 0.5000
Nb2 Nb 0.5000 0.5000 0.0000
Pb1 Pb 0.1581 0.6250 0.0331
Pb2 Pb 0.3750 0.4081 0.5331
Pb3 Pb 0.5919 0.1250 0.9669
Pb4 Pb 0.8750 0.8419 0.4669
# **Formation enthalpy at 0 K**: 1.6 eV per formula unit
# **E_tot**: -5.2048 eV/atom
# **Magnetic moment**: 0.0000 μB per atom

(18)
# GGA-PBE La3NbPb, optimized geometry
data_La3NbPb
_chemical_formula_sum 'La3 Nb1 Pb1'
_cell_length_a 5.5229
_cell_length_b 5.5229
_cell_length_c 5.5229
_cell_angle_alpha 90.00
_cell_angle_beta 90.00
_cell_angle_gamma 90.00
_space_group_name_H-M_alt 'P 1'
_space_group_IT_number 1
loop_
_space_group_symop_operation_xyz
'x,y,z'
loop_
_atom_site_label
_atom_site_type_symbol
_atom_site_fract_x
_atom_site_fract_y
_atom_site_fract_z
La1 La 0.0000 0.0000 0.5000
La2 La 0.0000 0.5000 0.0000
La3 La 0.5000 0.0000 0.0000
Nb1 Nb 0.0000 0.0000 0.0000
Pb1 Pb 0.5000 0.5000 0.5000
# **E above lowest polymorph**: 0 meV/atom
# **Formation enthalpy at 0 K**: 0.6 eV per formula unit
# **E_tot**: -5.5951 eV/atom
# **Magnetic moment**: 0.0000 μB per atom

(19)
# GGA-PBE LaNbPd2Pb, optimized geometry
data_LaNbPd2Pb
_chemical_formula_sum 'La1 Nb1 Pd2 Pb1'
_cell_length_a 4.9710
_cell_length_b 4.9710
_cell_length_c 5.9717
_cell_angle_alpha 90.00
_cell_angle_beta 90.00
_cell_angle_gamma 90.00
_space_group_name_H-M_alt 'P 1'
_space_group_IT_number 1
loop_
_space_group_symop_operation_xyz
'x,y,z'
loop_
_atom_site_label
_atom_site_type_symbol
_atom_site_fract_x
_atom_site_fract_y
_atom_site_fract_z
La1 La 0.0000 0.0000 0.0000
Nb1 Nb 0.5000 0.5000 0.5000
Pd1 Pd 0.0000 0.5000 0.0000
Pd2 Pd 0.5000 0.0000 0.0000
Pb1 Pb 0.0000 0.0000 0.5000
# **Formation enthalpy at 0 K**: 6.1 eV per formula unit
# **E_tot**: -4.6061 eV/atom
# **Magnetic moment**: 0.0001 μB per atom

(20)
# GGA-PBE LaNbPbS, optimized geometry
data_LaNbPbS
_chemical_formula_sum 'La1 Nb1 Pb1 S1'
_cell_length_a 3.4791
_cell_length_b 3.4791
_cell_length_c 8.9071
_cell_angle_alpha 90.00
_cell_angle_beta 90.00
_cell_angle_gamma 120.00
_space_group_name_H-M_alt 'P 1'
_space_group_IT_number 1
loop_
_space_group_symop_operation_xyz
'x,y,z'
loop_
_atom_site_label
_atom_site_type_symbol
_atom_site_fract_x
_atom_site_fract_y
_atom_site_fract_z
La1 La 0.0000 0.0000 0.0000
Nb1 Nb 0.0000 0.0000 0.5852
Pb1 Pb 0.6667 0.3333 0.3203
S1 S 0.6667 0.3333 0.7509
# **E above lowest polymorph**: 81 meV/atom
# **E_tot**: -6.3523 eV/atom
# **ΔE_f (raw)**: -644 meV/atom
# **Magnetic moment**: 0.0000 μB per atom